Pa3Pd5O12 | PBE | optimized geometry

Fermi-level density of states = 0.6429 states/eV per atom

Unit cell a=12.832 b=12.832 c=12.832 alpha=90.00 beta=90.00 gamma=90.00
Space group Ia-3d (No. 230)
Unique sites:
Pa (0.000, 0.250, 0.125) x24
Pd (0.000, 0.000, 0.000) x16
Pd (0.000, 0.250, 0.375) x24
O (0.014, 0.070, 0.649) x96

***

Pa4Pd6O19 | PBE | optimized geometry

Fermi-level density of states = 0.9743 states/eV per atom

Unit cell a=9.394 b=9.394 c=9.394 alpha=90.00 beta=90.00 gamma=90.00
Space group I23 (No. 197)
Unique sites:
Pa (0.139, 0.139, 0.139) x8
Pd (0.000, 0.249, 0.500) x12
O (0.000, 0.000, 0.000) x2
O (0.000, 0.000, 0.261) x12
O (0.055, 0.298, 0.298) x24

***

PaPd3O6 | PBE | optimized geometry

Fermi-level density of states = 0.5441 states/eV per atom

Unit cell a=6.819 b=10.218 c=3.790 alpha=90.00 beta=90.00 gamma=90.00
Space group Cmmm (No. 65)
Unique sites:
Pa (0.000, 0.000, 0.000) x2
Pd (0.000, 0.500, 0.000) x2
Pd (0.250, 0.250, 0.500) x4
O (0.000, 0.134, 0.500) x4
O (0.223, 0.372, 0.000) x8

***

Pa2Pd3O8 | PBE | optimized geometry

Unit cell a=3.939 b=6.244 c=7.873 alpha=110.28 beta=92.70 gamma=104.30
Space group P-1 (No. 2)
Unique sites:
Pa (0.014, 0.488, 0.236) x2
Pd (0.000, 0.000, 0.500) x1
Pd (0.493, 0.004, 0.234) x2
O (0.124, 0.731, 0.561) x2
O (0.130, 0.718, 0.054) x2
O (0.377, 0.260, 0.703) x2
O (0.406, 0.294, 0.203) x2

***

PaPdO4 | PBE | optimized geometry

Fermi-level density of states = 0.0784 states/eV per atom

Unit cell a=4.871 b=5.672 c=6.425 alpha=110.90 beta=107.77 gamma=97.55
Space group P-1 (No. 2)
Unique sites:
Pa (0.107, 0.352, 0.214) x2
Pd (0.309, 0.108, 0.639) x2
O (0.157, 0.412, 0.627) x2
O (0.168, 0.039, 0.887) x2
O (0.257, 0.645, 0.101) x2
O (0.495, 0.205, 0.423) x2

***

PaPdO5 | PBE | optimized geometry

Fermi-level density of states = 0.8893 states/eV per atom

Unit cell a=8.812 b=6.564 c=7.542 alpha=90.00 beta=114.97 gamma=90.00
Space group C2/c (No. 15)
Unique sites:
Pa (0.000, 0.041, 0.250) x4
Pd (0.000, 0.500, 0.000) x4
O (0.000, 0.402, 0.250) x4
O (0.013, 0.199, 0.967) x8
O (0.247, 0.471, 0.628) x8

***

PaPdO3 | PBE | optimized geometry

Fermi-level density of states = 1.3787 states/eV per atom

Unit cell a=4.335 b=4.335 c=4.335 alpha=90.00 beta=90.00 gamma=90.00
Space group Pm-3m (No. 221)
Unique sites:
Pa (0.000, 0.000, 0.000) x1
Pd (0.500, 0.500, 0.500) x1
O (0.000, 0.000, 0.500) x3

***

PaPd3O8 | PBE | optimized geometry

Fermi-level density of states = 0.3277 states/eV per atom

Unit cell a=13.069 b=4.306 c=6.681 alpha=90.00 beta=107.80 gamma=90.00
Space group Cm (No. 8)
Unique sites:
Pa (0.000, 0.000, 0.000) x2
Pd (0.094, 0.500, 0.420) x2
Pd (0.189, 0.500, 0.006) x2
Pd (0.397, 0.500, 0.385) x2
O (0.037, 0.500, 0.054) x2
O (0.057, 0.000, 0.377) x2
O (0.164, 0.000, 0.007) x2
O (0.182, 0.500, 0.707) x2
O (0.237, 0.500, 0.328) x2
O (0.350, 0.500, 0.061) x2
O (0.434, 0.500, 0.691) x2
O (0.437, 0.000, 0.395) x2

***

Summary of VASP energy in eV/atom
-7.400 -7.308 -6.837 -7.668 -7.854 -7.397 -7.988 -6.443
(order as listed above)
Summary of E_form (uncorrected) in meV per atom
-1702 -1675 -1354 -1958 -2100 -1757 -2075 -1047
(order as listed above)
Summary of total magnetization in μB/f.u.
0.081 0.000 0.449 0.000 0.000 0.747 1.016 0.000
(order as listed above)